(1)
Material: Fe2TePb
Method: DFT, meta-GGA SCAN
State: single point on PBEsol structure

## Properties
Energy relative to the lowest polymorph listed for this composition = 0 meV per atom
E_form (uncorrected) = 227 meV/atom
Density = 9.23 g/cm³

a b c (Å): 3.8381 3.8381 18.8958
angles (deg): 90.00 90.00 120.00
With the nearest neighbours (Å) after each atom.
Space group R3m (No. 160, hexagonal axes)
Asymmetric unit:
1 Fe 0.0000 0.0000 0.0000 x3  3 Fe 2.24
2 Fe 0.0000 0.0000 0.3151 x3  3 Fe 2.24
3 Te 0.0000 0.0000 0.5781 x3  6 Fe 2.58-2.78
4 Pb 0.0000 0.0000 0.7601 x3  6 Fe 2.83-3.06

=====

(2)
Material: Fe3TePb
Method: DFT, meta-GGA SCAN
State: single point on PBEsol structure

## Properties
E_form (uncorrected) = 1337 meV/atom
Density = 7.29 g/cm³

a b c (Å): 4.8543 4.8543 4.8543
angles (deg): 90.00 90.00 90.00
With the nearest neighbours (Å) after each atom.
Space group Pm-3m (No. 221)
Asymmetric unit:
1 Fe 0.0000 0.0000 0.5000 x3  2 Pb 2.43
2 Te 0.5000 0.5000 0.5000 x1  12 Fe 3.43
3 Pb 0.0000 0.0000 0.0000 x1  6 Fe 2.43

=====

(3)
Material: Fe2TePb
Method: DFT, meta-GGA SCAN
State: single point on PBEsol structure

## Properties
Energy relative to the lowest polymorph listed for this composition = 326 meV per atom
E_form (uncorrected) = 554 meV/atom
Density = 10.30 g/cm³

a b c (Å): 3.2861 3.2861 23.0812
angles (deg): 90.00 90.00 120.00
With the nearest neighbours (Å) after each atom.
Space group R-3m (No. 166, hexagonal axes)
Asymmetric unit:
1 Fe 0.0000 0.0000 0.2452 x6  3 Te 2.62, 3 Pb 2.78
2 Te 0.0000 0.0000 0.5000 x3  6 Fe 2.62
3 Pb 0.0000 0.0000 0.0000 x3  6 Fe 2.78

=====

(4)
Material: Fe2TePb
Method: DFT, meta-GGA SCAN
State: single point on PBEsol structure

## Properties
Energy relative to the lowest polymorph listed for this composition = 8 meV per atom
E_form (uncorrected) = 235 meV/atom
Density = 10.15 g/cm³

a b c (Å): 4.0601 3.6858 9.7599
angles (deg): 90.00 90.00 90.00
With the nearest neighbours (Å) after each atom.
Space group Amm2 (No. 38)
Asymmetric unit:
1 Fe 0.0000 0.0000 0.0000 x2  2 Fe 2.40
2 Fe 0.5000 0.0000 0.1316 x2  2 Fe 2.40, 2 Te 2.69
3 Te 0.5000 0.0000 0.4311 x2  7 Fe 2.69-2.92
4 Pb 0.0000 0.0000 0.7166 x2  7 Fe 2.77-2.86

=====

(5)
Material: TiFePb3
Method: DFT, meta-GGA SCAN
State: single point on PBEsol structure

## Properties
ΔH_f (0 K) = 0.721 eV per atom
Density = 8.13 g/cm³

a b c (Å): 5.2905 5.2905 5.2905
angles (deg): 90.00 90.00 90.00
With the nearest neighbours (Å) after each atom.
Space group Pm-3m (No. 221)
Asymmetric unit:
1 Ti 0.0000 0.0000 0.0000 x1  6 Pb 2.65
2 Fe 0.5000 0.5000 0.5000 x1  12 Pb 3.74
3 Pb 0.0000 0.0000 0.5000 x3  2 Ti 2.65

=====

(6)
Material: TlFe2Pb
Method: DFT, meta-GGA SCAN
State: single point on PBEsol structure

## Properties
ΔH_f (0 K) = 0.632 eV per atom
Density = 11.54 g/cm³

a b c (Å): 3.5746 3.2778 6.5989
angles (deg): 90.00 103.14 90.00
With the nearest neighbours (Å) after each atom.
Space group P2/m (No. 10)
Asymmetric unit:
1 Tl 0.0000 0.0000 0.0000 x1  8 Fe 2.69-2.73
2 Fe 0.4297 0.5000 0.8114 x2  1 Fe 2.42, 2 Tl 2.69
3 Pb 0.0000 0.0000 0.5000 x1  4 Fe 2.80

=====

Record-wise electronic total energy values, in eV/atom: -37.10 -32.15 -36.77 -37.09 -51.58 -45.47
Record-wise volume values, in A^3/atom: 20.1 22.9 18.0 18.3 29.6 18.8
Record-wise spin magnetization values, in μB per formula unit: 4.464 9.866 5.323 5.390 3.777 5.660